DFT (PBE with a Hubbard U) results for crystalline AcTi2Ni2O7 at its relaxed geometry.

Output
The total energy is -88.6 eV/cell.

abc: 9.6411 9.6411 9.6411
angles: 156.89 156.01 33.56
Closest atoms and distances in Å follow each position.
Sites, in units of the cell vectors:
1 Ac 0.0000 0.0000 0.0000  12 O 2.66-2.78
2 Ti 0.3875 0.3875 0.0000  6 O 1.94-2.06
3 Ti 0.6127 0.6127 0.0000  6 O 1.89-2.10
4 Ni 0.2303 0.7303 0.5000  5 O 2.02-2.25
5 Ni 0.7879 0.2879 0.5000  3 O 2.01-2.08
6 O 0.1083 0.6083 0.5000  2 Ti 2.01
7 O 0.2791 0.2791 0.0000  1 Ti 2.00, 4 Ni 2.01-2.13
8 O 0.3958 0.8958 0.5000  2 Ti 1.94
9 O 0.4988 0.4988 0.0000  2 Ti 2.06-2.10
10 O 0.5963 0.0963 0.5000  2 Ti 1.95
11 O 0.7149 0.7149 0.0000  1 Ti 1.89, 2 Ni 2.02
12 O 0.9006 0.4006 0.5000  2 Ti 2.02, 1 Ni 2.08